# 1
Here is crystalline MoPbAu at its relaxed geometry from the Alexandria database. Energies are from PBE.

Results
Total magnetization: 0.000 μB per cell
Formation enthalpy at 0 K: 0.57 eV per atom
Energy above the most stable polymorph in this dataset: 1.4 kJ/mol of atoms
Calculated total energy: -5.373 eV/atom

a = 3.111 Å, b = 3.111 Å, c = 7.284 Å
α = 90.00°, β = 90.00°, γ = 120.00°
Positions (direct):
Mo 0.000 0.000 0.000
Pb 0.667 0.333 0.337
Au 0.333 0.667 0.706

# 2
Here is crystalline CrMoHOs2 at its relaxed geometry from the Alexandria database. Energies are from PBE.

Results
Total magnetization: 0.546 μB per cell
Energy above the most stable polymorph in this dataset: 0.0 kJ/mol of atoms
Calculated total energy: -9.129 eV/atom

a = 3.900 Å, b = 3.900 Å, c = 3.863 Å
α = 90.00°, β = 90.00°, γ = 90.00°
Positions (direct):
Cr 0.000 0.000 0.000
Mo 0.500 0.500 0.000
H 0.000 0.000 0.500
Os 0.000 0.500 0.500
Os 0.500 0.000 0.500